Ba2Si3Ni, relaxed, DFT PBE; electronic total energy = -4.782 eV/atom; formation energy (no corrections) = -0.4665 eV per atom; SG = P-62m, No. 189
1.0
11.450 0.000 0.000
-5.725 9.916 0.000
0.000 0.000 3.923
Ba Si Ni
6 9 3
Cartesian
-1.646 2.852 0.000
-3.544 6.138 0.000
3.293 0.000 0.000
2.181 3.777 0.000
7.088 0.000 0.000
4.079 7.064 0.000
-5.017 8.690 1.962
0.708 1.226 1.962
-0.560 5.324 1.962
-0.835 7.739 1.962
1.395 6.769 1.962
4.890 2.177 1.962
5.165 4.592 1.962
7.120 3.147 1.962
10.034 0.000 1.962
0.000 0.000 0.000
0.000 6.611 0.000
5.725 3.305 0.000